Material: CaHfNbInO6
Method: DFT, PBE-GGA
State: optimized geometry

POSCAR file:
```
CaHfNbInO6
1.0
5.0796 -1.7066 2.2202
1.3119 1.2237 5.5159
0.1588 -4.2418 3.9530
O Hf In Ca Nb
6 1 1 1 1
Direct
0.7459 0.7459 0.2541 O
0.7459 0.2541 0.7459 O
0.2541 0.2541 0.7459 O
0.7459 0.2541 0.2541 O
0.2541 0.7459 0.7459 O
0.2541 0.7459 0.2541 O
0.0000 0.0000 0.0000 Hf
0.2500 0.2500 0.2500 In
0.7500 0.7500 0.7500 Ca
0.5000 0.5000 0.5000 Nb
```

Results
Energy = -8.0425 eV/atom
ΔE_f (raw) = -2.5913 eV/atom